# 1
TlInO2: optimized geometry, PBE-GGA.

E ... -4.90 eV per atom
SG ... P6_3/mmc

```
8
Lattice="3.374 0.000 0.000 -1.687 2.922 0.000 0.000 0.000 13.021" Properties=species:S:1:pos:R:3 pbc="T T T"
Tl 1.687 0.974 3.255
Tl 0.000 1.948 9.766
In 0.000 0.000 6.511
In 0.000 0.000 0.000
O 0.000 1.948 5.390
O 1.687 0.974 11.900
O 1.687 0.974 7.631
O 0.000 1.948 1.121
```

***

# 2
TlInO2: optimized geometry, PBE-GGA.

E ... -4.82 eV per atom
SG ... R-3m

```
4
Lattice="6.069 -3.236 2.416 7.229 -0.779 0.528 6.309 -0.174 3.648" Properties=species:S:1:pos:R:3 pbc="T T T"
Tl 0.000 0.000 0.000
O 17.358 -3.708 5.836
O 2.250 -0.481 0.756
In 9.804 -2.094 3.296
```

***

# 3
Tl4In2O9: optimized geometry, PBE-GGA.

E ... -4.92 eV per atom
SG ... P-3c1

```
30
Lattice="2.882 4.992 -0.026 -2.882 4.992 -0.026 0.000 0.083 15.069" Properties=species:S:1:pos:R:3 pbc="T T T"
Tl 0.000 6.695 7.072
Tl 0.000 6.736 14.607
Tl 0.000 3.372 7.946
Tl 0.001 6.714 10.410
Tl 0.000 3.331 0.411
Tl 0.001 3.395 12.143
Tl -0.001 6.673 2.876
Tl -0.001 3.353 4.608
In -2.881 5.063 12.889
In -2.881 5.045 9.664
In 2.881 5.004 2.129
In 2.881 5.022 5.355
O 2.065 6.426 3.735
O 2.065 3.599 3.749
O -1.251 5.013 3.742
O -2.065 3.641 11.283
O -2.065 6.468 11.269
O 1.251 5.054 11.276
O -0.920 4.867 13.776
O -0.806 1.875 13.791
O 1.727 3.470 13.783
O -0.920 5.242 8.777
O -0.806 8.233 8.762
O 1.727 6.639 8.769
O 0.920 5.200 1.243
O 0.806 8.192 1.227
O -1.727 6.598 1.235
O 0.920 4.825 6.241
O 0.806 1.834 6.256
O -1.727 3.428 6.249
```

***

# 4
TlInO: optimized geometry, PBE-GGA.

E ... -4.06 eV per atom
SG ... Pnnm

```
12
Lattice="3.384 0.000 0.000 0.000 5.557 0.000 0.000 0.000 14.845" Properties=species:S:1:pos:R:3 pbc="T T T"
O 1.692 2.344 11.364
O 0.000 5.123 10.903
O 0.000 0.434 3.942
O 1.692 3.212 3.481
Tl 1.692 1.439 13.913
Tl 0.000 4.218 8.354
Tl 1.692 4.117 0.932
Tl 0.000 1.339 6.491
In 1.692 1.157 2.751
In 0.000 1.621 10.174
In 0.000 3.936 4.671
In 1.692 4.399 12.094
```

***

# 5
Tl2InO: optimized geometry, PBE-GGA.

E ... -3.33 eV per atom
SG ... I-42d

```
8
Lattice="7.394 0.000 0.000 0.000 7.394 0.000 3.697 3.697 3.795" Properties=species:S:1:pos:R:3 pbc="T T T"
Tl 4.949 1.849 0.949
Tl 2.446 5.546 0.949
Tl 5.546 6.143 2.846
Tl 9.243 8.646 2.846
O 3.697 3.697 0.000
O 3.697 7.394 1.897
In 0.000 0.000 0.000
In 7.394 3.697 1.897
```

***

# 6
TlInO2: optimized geometry, PBE-GGA.

E ... -4.89 eV per atom
SG ... R3m

```
4
Lattice="3.371 0.000 0.000 1.686 2.919 0.000 1.686 0.973 6.642" Properties=species:S:1:pos:R:3 pbc="T T T"
Tl 3.371 1.946 3.490
In 3.371 1.946 0.010
O 1.686 0.973 5.427
O 1.686 0.973 1.036
```

***

# 7
TlInO2: optimized geometry, PBE-GGA.

E ... -4.54 eV per atom
SG ... R-3m

```
8
Lattice="6.578 0.000 0.000 3.289 5.696 0.000 3.289 1.899 5.372" Properties=species:S:1:pos:R:3 pbc="T T T"
Tl 9.866 5.696 2.009
Tl 3.289 1.899 3.363
O 3.289 0.000 0.000
O 4.933 2.848 0.000
O 6.578 3.798 2.686
O 1.644 2.848 0.000
In 6.578 3.798 4.700
In 6.577 3.798 0.672
```

***

# 8
TlIn2O4: optimized geometry, PBE-GGA.

E ... -5.13 eV per atom
SG ... C2/m

```
7
Lattice="3.256 0.000 -0.799 -0.507 5.229 -2.065 -0.092 -0.254 6.658" Properties=species:S:1:pos:R:3 pbc="T T T"
Tl 0.000 0.000 0.000
In 1.948 3.691 0.905
In 0.709 1.284 2.890
O 2.629 0.632 3.679
O 0.028 4.342 0.115
O 1.963 1.532 0.964
O 0.695 3.443 2.830
```

***

The highest E belongs to which entry? Tl2InO

***

Which of these has the highest E? Tl2InO